A relaxed structure of Hf2TiCuC, computed with PBE.

## Properties
total magnetic moment: 0.0 μB per cell
energy of formation: -0.333 eV per atom
DFT total energy: -8.557 eV/atom

a b c (Å): 4.4280 4.4280 4.1591
angles (deg): 90.00 90.00 90.00
With the nearest neighbours (Å) after each atom.
Positions (direct):
C: 0.0000 0.0000 0.0000  2 Ti 2.08, 4 Hf 2.21
Hf: 0.0000 0.5000 0.0000  2 C 2.21
Hf: 0.5000 0.0000 0.0000  2 C 2.21
Cu: 0.5000 0.5000 0.5000  8 Hf 3.04, 4 Ti 3.13
Ti: 0.0000 0.0000 0.5000  2 C 2.08


A relaxed structure of Tb2B6Ir9, computed with PBE.

## Properties
total magnetic moment: 0.0 μB per cell
energy of formation: -0.577 eV per atom
DFT total energy: -8.170 eV/atom

a b c (Å): 5.6578 5.6578 8.6459
angles (deg): 90.00 90.00 120.00
With the nearest neighbours (Å) after each atom.
Positions (direct):
Tb: 0.0000 0.0000 0.7029  12 Ir 3.05-3.33, 6 B 3.28
Tb: 0.0000 0.0000 0.2971  12 Ir 3.05-3.33, 6 B 3.28
B: 0.3333 0.6667 0.0000  6 Ir 2.16
B: 0.6667 0.3333 0.0000  6 Ir 2.16
B: 0.3333 0.6667 0.6674  6 Ir 2.18-2.19
B: 0.6667 0.3333 0.6674  6 Ir 2.18-2.19
B: 0.6667 0.3333 0.3326  6 Ir 2.18-2.19
B: 0.3333 0.6667 0.3326  6 Ir 2.18-2.19
Ir: 0.5000 0.0000 0.8360  4 B 2.16-2.19
Ir: 0.0000 0.5000 0.8360  4 B 2.16-2.19
Ir: 0.5000 0.5000 0.8360  4 B 2.16-2.19
Ir: 0.5000 0.0000 0.1640  4 B 2.16-2.19
Ir: 0.0000 0.5000 0.1640  4 B 2.16-2.19
Ir: 0.5000 0.5000 0.1640  4 B 2.16-2.19
Ir: 0.5000 0.0000 0.5000  4 B 2.18
Ir: 0.0000 0.5000 0.5000  4 B 2.18
Ir: 0.5000 0.5000 0.5000  4 B 2.18


A relaxed structure of CuHg2SbPb, computed with PBE.

## Properties
total magnetic moment: 0.0 μB per cell
DFT total energy: -2.304 eV/atom
formation energy (no corrections): 0.202 eV/atom

a b c (Å): 5.0770 5.2899 5.0770
angles (deg): 90.00 90.00 90.00
With the nearest neighbours (Å) after each atom.
Positions (direct):
Pb: 0.5000 0.5000 0.5000  4 Sb 3.59, 8 Hg 3.67
Sb: 0.0000 0.5000 0.0000  2 Cu 2.64
Hg: 0.0000 0.0000 0.5000  2 Cu 2.54
Hg: 0.5000 0.0000 0.0000  2 Cu 2.54
Cu: 0.0000 0.0000 0.0000  4 Hg 2.54, 2 Sb 2.64


A relaxed structure of Ca3H2Cl2O4, computed with PBE.

## Properties
total magnetic moment: 1.9 μB per cell
DFT total energy: -4.759 eV/atom

a b c (Å): 3.5393 3.5393 12.7232
angles (deg): 98.00 98.00 90.00
With the nearest neighbours (Å) after each atom.
Positions (direct):
Ca: 0.0000 0.0000 0.0000  8 O 2.42
Ca: 0.1319 0.1319 0.2638  4 O 2.41
Ca: 0.8681 0.8681 0.7362  4 O 2.41
H: 0.4332 0.4332 0.8663  4 O 1.77
H: 0.5668 0.5668 0.1337  4 O 1.77
Cl: 0.3151 0.3151 0.6302  4 Ca 2.83, 1 H 2.95
Cl: 0.6849 0.6849 0.3698  4 Ca 2.83, 1 H 2.95
O: 0.4337 0.9337 0.8675  2 H 1.77
O: 0.9337 0.4337 0.8675  2 H 1.77
O: 0.0663 0.5663 0.1325  2 H 1.77
O: 0.5663 0.0663 0.1325  2 H 1.77


A relaxed structure of MnAgP2Cl, computed with PBE.

## Properties
total magnetic moment: 3.5 μB per cell
DFT total energy: -3.979 eV/atom
formation energy (no corrections): 0.959 eV/atom
relative energy among the computed polymorphs: 3.27 eV/f.u.

a b c (Å): 4.7821 4.7821 5.1596
angles (deg): 90.00 90.00 90.00
With the nearest neighbours (Å) after each atom.
Positions (direct):
P: 0.0000 0.5000 0.0000  2 Ag 2.39
P: 0.5000 0.0000 0.0000  2 Ag 2.39
Mn: 0.5000 0.5000 0.5000  4 Cl 3.38, 8 P 3.52
Ag: 0.0000 0.0000 0.0000  4 P 2.39, 2 Cl 2.58
Cl: 0.0000 0.0000 0.5000  2 Ag 2.58


A relaxed structure of Ga2Sn3Au3, computed with PBE.

## Properties
total magnetic moment: 0.0 μB per cell
energy of formation: -0.111 eV per atom
DFT total energy: -3.598 eV/atom

a b c (Å): 4.4369 8.3444 10.7773
angles (deg): 90.00 90.00 109.46
With the nearest neighbours (Å) after each atom.
Positions (direct):
Ga: 0.7576 0.5810 0.8682  1 Ga 2.55, 3 Au 2.63-2.66
Ga: 0.2424 0.4190 0.3682  1 Ga 2.55, 3 Au 2.63-2.66
Ga: 0.7576 0.5810 0.6318  1 Ga 2.55, 3 Au 2.63-2.66
Ga: 0.2424 0.4190 0.1318  1 Ga 2.55, 3 Au 2.63-2.66
Sn: 0.9415 0.8564 0.4055  4 Au 2.87-2.96, 1 Sn 3.06
Sn: 0.0585 0.1436 0.9055  4 Au 2.87-2.96, 1 Sn 3.06
Sn: 0.9415 0.8564 0.0945  4 Au 2.87-2.96, 1 Sn 3.06
Sn: 0.0585 0.1436 0.5945  4 Au 2.87-2.96, 1 Sn 3.06
Sn: 0.5866 0.1467 0.2500  2 Au 2.82
Sn: 0.4134 0.8533 0.7500  2 Au 2.82
Au: 0.6784 0.3203 0.4790  3 Ga 2.63-2.66, 3 Sn 2.82-2.93
Au: 0.3216 0.6797 0.9790  3 Ga 2.63-2.66, 3 Sn 2.82-2.93
Au: 0.6784 0.3203 0.0210  3 Ga 2.63-2.66, 3 Sn 2.82-2.93
Au: 0.3216 0.6797 0.5210  3 Ga 2.63-2.66, 3 Sn 2.82-2.93
Au: 0.3856 0.7458 0.2500  5 Sn 2.87-3.16, 2 Ga 2.88, 2 Au 2.97
Au: 0.6144 0.2542 0.7500  5 Sn 2.87-3.16, 2 Ga 2.88, 2 Au 2.97